1.
# NaTlCoSn2

NaTlCoSn2 after structural relaxation (GGA-PBE, Alexandria).

```
data_NaTlCoSn2
_cell_length_a 4.8697
_cell_length_b 4.8697
_cell_length_c 5.4877
_cell_angle_alpha 90.00
_cell_angle_beta 90.00
_cell_angle_gamma 90.00
_symmetry_space_group_name_H-M 'P 4/m m m'
_symmetry_Int_Tables_number 123
_symmetry_space_group_name_Hall '-P 4 2'
loop_
_atom_site_label
_atom_site_type_symbol
_atom_site_fract_x
_atom_site_fract_y
_atom_site_fract_z
Na1 Na 0.0000 0.0000 0.0000
Tl1 Tl 0.5000 0.5000 0.0000
Co1 Co 0.0000 0.0000 0.5000
Sn1 Sn 0.0000 0.5000 0.5000
```

Calculated values
- M_tot (μB/cell) = 0.0
- N(E_F) (states/eV/f.u.) = 3.4
- energy of formation (eV per atom) = 0.056
- density (g cm⁻³) = 6.68

---

2.
# NaTlCoSn2

NaTlCoSn2 after structural relaxation (GGA-PBE, Alexandria).

```
data_NaTlCoSn2
_cell_length_a 4.9910
_cell_length_b 4.9910
_cell_length_c 5.1551
_cell_angle_alpha 90.00
_cell_angle_beta 90.00
_cell_angle_gamma 90.00
_symmetry_space_group_name_H-M 'P 4/m m m'
_symmetry_Int_Tables_number 123
_symmetry_space_group_name_Hall '-P 4 2'
loop_
_atom_site_label
_atom_site_type_symbol
_atom_site_fract_x
_atom_site_fract_y
_atom_site_fract_z
Na1 Na 0.0000 0.0000 0.0000
Tl1 Tl 0.5000 0.5000 0.0000
Co1 Co 0.5000 0.5000 0.5000
Sn1 Sn 0.0000 0.5000 0.5000
```

Calculated values
- M_tot (μB/cell) = 0.7
- N(E_F) (states/eV/f.u.) = 4.8
- energy of formation (eV per atom) = 0.057
- density (g cm⁻³) = 6.77

---

3.
# NaVCo2Sn

NaVCo2Sn after structural relaxation (GGA-PBE, Alexandria).

```
data_NaVCo2Sn
_cell_length_a 4.3615
_cell_length_b 4.3615
_cell_length_c 5.1140
_cell_angle_alpha 90.00
_cell_angle_beta 90.00
_cell_angle_gamma 90.00
_symmetry_space_group_name_H-M 'P 4/m m m'
_symmetry_Int_Tables_number 123
_symmetry_space_group_name_Hall '-P 4 2'
loop_
_atom_site_label
_atom_site_type_symbol
_atom_site_fract_x
_atom_site_fract_y
_atom_site_fract_z
Na1 Na 0.0000 0.0000 0.0000
V1 V 0.5000 0.5000 0.5000
Co1 Co 0.0000 0.5000 0.5000
Sn1 Sn 0.5000 0.5000 0.0000
```

Calculated values
- M_tot (μB/cell) = 1.0
- N(E_F) (states/eV/f.u.) = 5.5
- energy of formation (eV per atom) = 0.810
- density (g cm⁻³) = 5.30

---

4.
# NaZnCoSn2

NaZnCoSn2 after structural relaxation (GGA-PBE, Alexandria).

```
data_NaZnCoSn2
_cell_length_a 4.8976
_cell_length_b 4.8976
_cell_length_c 4.7843
_cell_angle_alpha 90.00
_cell_angle_beta 90.00
_cell_angle_gamma 90.00
_symmetry_space_group_name_H-M 'P 4/m m m'
_symmetry_Int_Tables_number 123
_symmetry_space_group_name_Hall '-P 4 2'
loop_
_atom_site_label
_atom_site_type_symbol
_atom_site_fract_x
_atom_site_fract_y
_atom_site_fract_z
Na1 Na 0.0000 0.0000 0.0000
Zn1 Zn 0.5000 0.5000 0.0000
Co1 Co 0.5000 0.5000 0.5000
Sn1 Sn 0.0000 0.5000 0.5000
```

Calculated values
- M_tot (μB/cell) = 0.0
- N(E_F) (states/eV/f.u.) = 4.1
- energy of formation (eV per atom) = 0.003
- density (g cm⁻³) = 5.57

---

5.
# NaSrCo2

NaSrCo2 after structural relaxation (GGA-PBE, Alexandria).

```
data_NaSrCo2
_cell_length_a 7.0796
_cell_length_b 7.0796
_cell_length_c 7.0796
_cell_angle_alpha 90.00
_cell_angle_beta 90.00
_cell_angle_gamma 90.00
_symmetry_space_group_name_H-M 'F m -3 m'
_symmetry_Int_Tables_number 225
_symmetry_space_group_name_Hall '-F 4 2 3'
loop_
_atom_site_label
_atom_site_type_symbol
_atom_site_fract_x
_atom_site_fract_y
_atom_site_fract_z
Na1 Na 0.0000 0.0000 0.0000
Sr1 Sr 0.0000 0.0000 0.5000
Co1 Co 0.2500 0.2500 0.2500
```

Calculated values
- offset from the most stable computed form (eV/atom) = 0.000
- M_tot (μB/cell) = 12.2
- N(E_F) (states/eV/f.u.) = 15.6
- energy of formation (eV per atom) = 0.953
- density (g cm⁻³) = 4.28

---

6.
# Na3SrCo

Na3SrCo after structural relaxation (GGA-PBE, Alexandria).

```
data_Na3SrCo
_cell_length_a 5.4904
_cell_length_b 5.4904
_cell_length_c 5.4904
_cell_angle_alpha 90.00
_cell_angle_beta 90.00
_cell_angle_gamma 90.00
_symmetry_space_group_name_H-M 'P m -3 m'
_symmetry_Int_Tables_number 221
_symmetry_space_group_name_Hall '-P 4 2 3'
loop_
_atom_site_label
_atom_site_type_symbol
_atom_site_fract_x
_atom_site_fract_y
_atom_site_fract_z
Na1 Na 0.0000 0.0000 0.5000
Sr1 Sr 0.5000 0.5000 0.5000
Co1 Co 0.0000 0.0000 0.0000
```

Calculated values
- M_tot (μB/cell) = 0.0
- N(E_F) (states/eV/f.u.) = 7.6
- energy of formation (eV per atom) = 0.658
- density (g cm⁻³) = 2.16

---

> Which value of energy of formation does entry 5 give?

0.953 eV per atom

---

> Look up the energy of formation of the fifth one.

0.953 eV per atom

---

> Which value of energy of formation does entry 6 give?

0.658 eV per atom